Entry 1:
Entry from the Open Quantum Materials Database: ScCuTcB after structural relaxation (PBE-GGA).

Computed properties:
V: 51.7 Å³/cell
Final energy: -6.35 eV/atom
E above lowest polymorph: 0 meV per atom

Geometry as CIF:
```
data_ScCuTcB
_chemical_formula_sum 'Sc1 Cu1 Tc1 B1'
_cell_length_a 4.1818
_cell_length_b 4.1818
_cell_length_c 4.1818
_cell_angle_alpha 60.00
_cell_angle_beta 60.00
_cell_angle_gamma 60.00
_space_group_name_H-M_alt 'P 1'
_space_group_IT_number 1
loop_
_space_group_symop_operation_xyz
'x,y,z'
loop_
_atom_site_label
_atom_site_fract_x
_atom_site_fract_y
_atom_site_fract_z
Sc1 0.0000 0.0000 0.0000
Cu1 0.7500 0.7500 0.7500
Tc1 0.2500 0.2500 0.2500
B1 0.5000 0.5000 0.5000
```

Entry 2:
Entry from the Open Quantum Materials Database: MoN2 after structural relaxation (PBE-GGA).

Computed properties:
V: 54.4 Å³/cell
Final energy: -9.15 eV/atom

Geometry as CIF:
```
data_MoN2
_chemical_formula_sum 'Mo2 N4'
_cell_length_a 4.7803
_cell_length_b 4.7803
_cell_length_c 4.1638
_cell_angle_alpha 90.00
_cell_angle_beta 90.00
_cell_angle_gamma 145.16
_space_group_name_H-M_alt 'P 1'
_space_group_IT_number 1
loop_
_space_group_symop_operation_xyz
'x,y,z'
loop_
_atom_site_label
_atom_site_fract_x
_atom_site_fract_y
_atom_site_fract_z
Mo1 0.0995 0.9005 0.5000
Mo2 0.9005 0.0995 0.0000
N1 0.3193 0.6807 0.6550
N2 0.4241 0.5759 0.4059
N3 0.5759 0.4241 0.9059
N4 0.6807 0.3193 0.1550
```

Entry 3:
Entry from the Open Quantum Materials Database: HoHf2In3Ir2 after structural relaxation (PBE-GGA).

Computed properties:
V: 166.6 Å³/cell
Final energy: -6.90 eV/atom

Geometry as CIF:
```
data_HoHf2In3Ir2
_chemical_formula_sum 'Ho1 Hf2 In3 Ir2'
_cell_length_a 3.3198
_cell_length_b 7.6421
_cell_length_c 7.6421
_cell_angle_alpha 120.79
_cell_angle_beta 90.00
_cell_angle_gamma 90.00
_space_group_name_H-M_alt 'P 1'
_space_group_IT_number 1
loop_
_space_group_symop_operation_xyz
'x,y,z'
loop_
_atom_site_label
_atom_site_fract_x
_atom_site_fract_y
_atom_site_fract_z
Ho1 0.0000 0.0000 0.0000
Hf1 0.0000 0.4190 0.8437
Hf2 0.0000 0.8437 0.4190
In1 0.5000 0.1891 0.4231
In2 0.5000 0.4231 0.1891
In3 0.5000 0.6478 0.6478
Ir1 0.5000 0.0888 0.7421
Ir2 0.5000 0.7421 0.0888
```

Entry 4:
Entry from the Open Quantum Materials Database: Li2HfScIn2Ir2 after structural relaxation (PBE-GGA).

Computed properties:
V: 137.4 Å³/cell
Final energy: -5.97 eV/atom

Geometry as CIF:
```
data_Li2HfScIn2Ir2
_chemical_formula_sum 'Li2 Hf1 Sc1 In2 Ir2'
_cell_length_a 4.5998
_cell_length_b 4.5998
_cell_length_c 6.4954
_cell_angle_alpha 90.00
_cell_angle_beta 90.00
_cell_angle_gamma 90.00
_space_group_name_H-M_alt 'P 1'
_space_group_IT_number 1
loop_
_space_group_symop_operation_xyz
'x,y,z'
loop_
_atom_site_label
_atom_site_fract_x
_atom_site_fract_y
_atom_site_fract_z
Li1 0.0000 0.5000 0.2473
Li2 0.5000 0.0000 0.7527
Hf1 0.0000 0.0000 0.5000
Sc1 0.5000 0.5000 0.0000
In1 0.0000 0.0000 0.0000
In2 0.5000 0.5000 0.5000
Ir1 0.0000 0.5000 0.7410
Ir2 0.5000 0.0000 0.2590
```

Entry 5:
Entry from the Open Quantum Materials Database: Rb2ScPtBr6 after structural relaxation (PBE-GGA).

Computed properties:
V: 345.0 Å³/cell
Final energy: -2.90 eV/atom

Geometry as CIF:
```
data_Rb2ScPtBr6
_chemical_formula_sum 'Rb2 Sc1 Pt1 Br6'
_cell_length_a 4.8143
_cell_length_b 4.8143
_cell_length_c 14.8855
_cell_angle_alpha 90.00
_cell_angle_beta 90.00
_cell_angle_gamma 90.00
_space_group_name_H-M_alt 'P 1'
_space_group_IT_number 1
loop_
_space_group_symop_operation_xyz
'x,y,z'
loop_
_atom_site_label
_atom_site_fract_x
_atom_site_fract_y
_atom_site_fract_z
Rb1 0.0000 0.0000 0.2140
Rb2 0.0000 0.0000 0.7860
Sc1 0.5000 0.5000 0.5000
Pt1 0.5000 0.5000 0.0000
Br1 0.0000 0.0000 0.0000
Br2 0.0000 0.0000 0.5000
Br3 0.0000 0.5000 0.3688
Br4 0.0000 0.5000 0.6312
Br5 0.5000 0.0000 0.3688
Br6 0.5000 0.0000 0.6312
```

Entry 6:
Entry from the Open Quantum Materials Database: InW4AuN2 after structural relaxation (PBE-GGA).

Computed properties:
V: 111.0 Å³/cell
Final energy: -9.04 eV/atom

Geometry as CIF:
```
data_InW4AuN2
_chemical_formula_sum 'In1 W4 Au1 N2'
_cell_length_a 2.8749
_cell_length_b 2.8749
_cell_length_c 15.5018
_cell_angle_alpha 90.00
_cell_angle_beta 90.00
_cell_angle_gamma 120.00
_space_group_name_H-M_alt 'P 1'
_space_group_IT_number 1
loop_
_space_group_symop_operation_xyz
'x,y,z'
loop_
_atom_site_label
_atom_site_fract_x
_atom_site_fract_y
_atom_site_fract_z
In1 0.0000 0.0000 0.0000
W1 0.0000 0.0000 0.3441
W2 0.0000 0.0000 0.6559
W3 0.6667 0.3333 0.1594
W4 0.6667 0.3333 0.8406
Au1 0.6667 0.3333 0.5000
N1 0.3333 0.6667 0.2512
N2 0.3333 0.6667 0.7488
```

Entry 7:
Entry from the Open Quantum Materials Database: LuCd2Ga after structural relaxation (PBE-GGA).

Computed properties:
V: 86.1 Å³/cell
Final energy: -2.57 eV/atom

Geometry as CIF:
```
data_LuCd2Ga
_chemical_formula_sum 'Lu1 Cd2 Ga1'
_cell_length_a 4.9558
_cell_length_b 4.9558
_cell_length_c 4.9558
_cell_angle_alpha 60.00
_cell_angle_beta 60.00
_cell_angle_gamma 60.00
_space_group_name_H-M_alt 'P 1'
_space_group_IT_number 1
loop_
_space_group_symop_operation_xyz
'x,y,z'
loop_
_atom_site_label
_atom_site_fract_x
_atom_site_fract_y
_atom_site_fract_z
Lu1 0.0000 0.0000 0.0000
Cd1 0.2500 0.2500 0.2500
Cd2 0.5000 0.5000 0.5000
Ga1 0.7500 0.7500 0.7500
```

Entry 8:
Entry from the Open Quantum Materials Database: Zr2In2Ni3Pd after structural relaxation (PBE-GGA).

Computed properties:
V: 131.6 Å³/cell
Final energy: -6.03 eV/atom

Geometry as CIF:
```
data_Zr2In2Ni3Pd
_chemical_formula_sum 'Zr2 In2 Ni3 Pd1'
_cell_length_a 4.5128
_cell_length_b 4.5128
_cell_length_c 6.4631
_cell_angle_alpha 90.00
_cell_angle_beta 90.00
_cell_angle_gamma 90.00
_space_group_name_H-M_alt 'P 1'
_space_group_IT_number 1
loop_
_space_group_symop_operation_xyz
'x,y,z'
loop_
_atom_site_label
_atom_site_fract_x
_atom_site_fract_y
_atom_site_fract_z
Zr1 0.0000 0.5000 0.2398
Zr2 0.5000 0.0000 0.7602
In1 0.0000 0.5000 0.7555
In2 0.5000 0.0000 0.2445
Ni1 0.0000 0.0000 0.0000
Ni2 0.5000 0.5000 0.0000
Ni3 0.5000 0.5000 0.5000
Pd1 0.0000 0.0000 0.5000
```

Entry 9:
Entry from the Open Quantum Materials Database: Lu4BiC3 after structural relaxation (PBE-GGA).

Computed properties:
V: 292.7 Å³/cell
Final energy: -6.64 eV/atom

Geometry as CIF:
```
data_Lu4BiC3
_chemical_formula_sum 'Lu8 Bi2 C6'
_cell_length_a 3.5118
_cell_length_b 3.5118
_cell_length_c 27.4088
_cell_angle_alpha 90.00
_cell_angle_beta 90.00
_cell_angle_gamma 120.00
_space_group_name_H-M_alt 'P 1'
_space_group_IT_number 1
loop_
_space_group_symop_operation_xyz
'x,y,z'
loop_
_atom_site_label
_atom_site_fract_x
_atom_site_fract_y
_atom_site_fract_z
Lu1 0.0000 0.0000 0.1498
Lu2 0.0000 0.0000 0.3502
Lu3 0.0000 0.0000 0.6498
Lu4 0.0000 0.0000 0.8502
Lu5 0.3333 0.6667 0.0525
Lu6 0.3333 0.6667 0.4475
Lu7 0.6667 0.3333 0.5525
Lu8 0.6667 0.3333 0.9475
Bi1 0.3333 0.6667 0.2500
Bi2 0.6667 0.3333 0.7500
C1 0.0000 0.0000 0.0000
C2 0.0000 0.0000 0.5000
C3 0.3333 0.6667 0.6080
C4 0.3333 0.6667 0.8920
C5 0.6667 0.3333 0.1080
C6 0.6667 0.3333 0.3920
```

Entry 10:
Entry from the Open Quantum Materials Database: LaNdMg2 after structural relaxation (PBE-GGA).

Computed properties:
V: 120.9 Å³/cell
Final energy: -3.31 eV/atom

Geometry as CIF:
```
data_LaNdMg2
_chemical_formula_sum 'La1 Nd1 Mg2'
_cell_length_a 3.9189
_cell_length_b 5.5546
_cell_length_c 5.5549
_cell_angle_alpha 90.00
_cell_angle_beta 90.00
_cell_angle_gamma 90.00
_space_group_name_H-M_alt 'P 1'
_space_group_IT_number 1
loop_
_space_group_symop_operation_xyz
'x,y,z'
loop_
_atom_site_label
_atom_site_fract_x
_atom_site_fract_y
_atom_site_fract_z
La1 0.0000 0.0000 0.0000
Nd1 0.0000 0.5000 0.4964
Mg1 0.5000 0.0000 0.5008
Mg2 0.5000 0.5000 0.9956
```

Entry 11:
Entry from the Open Quantum Materials Database: RbTh after structural relaxation (PBE-GGA).

Computed properties:
V: 84.8 Å³/cell
Final energy: -3.45 eV/atom

Geometry as CIF:
```
data_RbTh
_chemical_formula_sum 'Rb1 Th1'
_cell_length_a 3.5825
_cell_length_b 3.5825
_cell_length_c 7.6252
_cell_angle_alpha 90.00
_cell_angle_beta 90.00
_cell_angle_gamma 120.00
_space_group_name_H-M_alt 'P 1'
_space_group_IT_number 1
loop_
_space_group_symop_operation_xyz
'x,y,z'
loop_
_atom_site_label
_atom_site_fract_x
_atom_site_fract_y
_atom_site_fract_z
Rb1 0.0000 0.0000 0.0000
Th1 0.6667 0.3333 0.5000
```

Entry 12:
Entry from the Open Quantum Materials Database: HoNbTc after structural relaxation (PBE-GGA).

Computed properties:
V: 65.2 Å³/cell
Final energy: -7.72 eV/atom
Energy relative to the elements: 0.63 eV per atom

Geometry as CIF:
```
data_HoNbTc
_chemical_formula_sum 'Ho1 Nb1 Tc1'
_cell_length_a 4.5184
_cell_length_b 4.5184
_cell_length_c 4.5184
_cell_angle_alpha 60.00
_cell_angle_beta 60.00
_cell_angle_gamma 60.00
_space_group_name_H-M_alt 'P 1'
_space_group_IT_number 1
loop_
_space_group_symop_operation_xyz
'x,y,z'
loop_
_atom_site_label
_atom_site_fract_x
_atom_site_fract_y
_atom_site_fract_z
Ho1 0.0000 0.0000 0.0000
Nb1 0.2500 0.2500 0.2500
Tc1 0.5000 0.5000 0.5000
```

Entry 13:
Entry from the Open Quantum Materials Database: TbTlHgS3 after structural relaxation (PBE-GGA).

Computed properties:
V: 329.6 Å³/cell
Final energy: -4.23 eV/atom
E above lowest polymorph: 36 meV per atom

Geometry as CIF:
```
data_TbTlHgS3
_chemical_formula_sum 'Tb2 Tl2 Hg2 S6'
_cell_length_a 7.9720
_cell_length_b 4.1193
_cell_length_c 10.5585
_cell_angle_alpha 90.00
_cell_angle_beta 108.09
_cell_angle_gamma 90.00
_space_group_name_H-M_alt 'P 1'
_space_group_IT_number 1
loop_
_space_group_symop_operation_xyz
'x,y,z'
loop_
_atom_site_label
_atom_site_fract_x
_atom_site_fract_y
_atom_site_fract_z
Tb1 0.1893 0.2500 0.1340
Tb2 0.8107 0.7500 0.8660
Tl1 0.2281 0.7500 0.7237
Tl2 0.7719 0.2500 0.2763
Hg1 0.4128 0.7500 0.3821
Hg2 0.5872 0.2500 0.6179
S1 0.0462 0.2500 0.8675
S2 0.2456 0.2500 0.4298
S3 0.4311 0.7500 0.1479
S4 0.5689 0.2500 0.8521
S5 0.7544 0.7500 0.5702
S6 0.9538 0.7500 0.1325
```